# 1
Compound: Eu2CuO4
Source: the Alexandria database
Functional: SCAN
Structure: single point on PBEsol structure

Computed properties:
As for the density of states at the Fermi level: 0.5217 states/eV per atom. As for the crystal system: tetragonal. The space group is I4/mmm.

Cell: 3.865 3.865 6.537 Å, 107.19 107.19 90.00°
Last column: magnetic moment on the atom in μB.
Element x y z (fractional)
Eu  0.647  0.647  0.294  6.25
O  0.000  0.500  0.000  -0.08
O  0.750  0.250  0.500  -0.21
O  0.500  0.000  0.000  -0.08
O  0.250  0.750  0.500  -0.21
Cu  0.000  0.000  0.000  -0.02
Eu  0.353  0.353  0.706  6.25

***

# 2
Compound: SeCl2
Source: the Alexandria database
Functional: SCAN
Structure: single point on PBEsol structure

Computed properties:
As for the crystal system: tetragonal. The space group is I4/mmm.

Cell: 5.463 5.568 5.463 Å, 119.38 90.00 119.38°
Last column: magnetic moment on the atom in μB.
Element x y z (fractional)
Cl  0.716  0.433  0.716  -0.21
Se  0.000  0.000  0.000  -0.88
Cl  0.284  0.567  0.284  -0.21

***

no.,V (Å³ per cell),E_form (uncorrected) (meV per atom)
1,88.7,-2391
2,119.7,101